(1)
## La2SmSn9 (PBE)

Data for a geometry-optimized La2SmSn9 structure.

Lattice parameters (Å, degrees): 4.8052 4.8052 14.2592 90.00 90.00 90.00
Fractional positions:
La  0.0000  0.0000  0.1684
La  0.0000  0.0000  0.8316
Sm  0.0000  0.0000  0.5000
Sn  0.0000  0.5000  0.0000
Sn  0.0000  0.5000  0.3365
Sn  0.0000  0.5000  0.6635
Sn  0.5000  0.0000  0.0000
Sn  0.5000  0.0000  0.3365
Sn  0.5000  0.0000  0.6635
Sn  0.5000  0.5000  0.1680
Sn  0.5000  0.5000  0.5000
Sn  0.5000  0.5000  0.8320

Summary:
As for the total DFT energy (no corrections): -4.761 eV per atom. Its symmetry is P4/mmm, No. 123.

(2)
## Os3Pb (PBE)

Data for a geometry-optimized Os3Pb structure.

Lattice parameters (Å, degrees): 2.7996 3.7011 7.0240 90.00 99.34 90.00
Fractional positions:
Os  0.0000  0.0000  0.0000
Os  0.4175  0.5000  0.8106
Os  0.5825  0.5000  0.1894
Pb  0.0000  0.0000  0.5000

Summary:
As for the total DFT energy (no corrections): -8.554 eV per atom. Its symmetry is P2/m, No. 10.

Results for DOS at the Fermi energy: 8.01; 3.30 (in states/eV per cell, following the order of the records).